# CoF4

A relaxed structure of CoF4 (PBE with a Hubbard U, the Alexandria database).

Cell lengths 4.891, 5.413, 5.549 Å; angles 63.85, 89.97, 90.00 degrees
Each line ends with the local moment (μB).
Positions (direct):
F  0.376  0.127  0.680  0.18
F  0.697  0.365  0.895  0.04
F  0.303  0.635  0.105  0.04
F  0.125  0.627  0.680  0.18
F  0.803  0.865  0.895  0.04
F  0.875  0.373  0.320  0.18
F  0.197  0.135  0.105  0.04
F  0.624  0.873  0.320  0.18
Co  0.000  0.500  0.000  2.44
Co  0.500  0.000  0.000  2.44

## Properties
The calculation puts the calculated volume at 13.2 Å³/atom. The value obtained for the density is 3.40 g/cm3. The calculation puts the total energy at -4.0447 eV/atom.